First-principles (PBE-GGA) data for a relaxed structure of Be2MoW, as listed in Alexandria.

a b c (Å): 4.0917 4.0917 4.0917
angles (deg): 60.00 60.00 60.00
Element x y z (fractional)
Be 0.2500 0.2500 0.2500
Be 0.7500 0.7500 0.7500
Mo 0.0000 0.0000 0.0000
W 0.5000 0.5000 0.5000

Symmetry: Fm-3m, No. 225
DFT total energy (eV per atom): -7.56
Crystal system: cubic
Distance to the lowest polymorph of the same formula (meV/atom): 483.0
N(E_F) (states/eV per cell): 4.065
Magnetic moment (Bohr magnetons per cell): 0.000
DFT formation energy (meV/atom): 248.6